# TaCd2Hg PBE-GGA optimized geometry
data_TaCd2Hg
_space_group_name_H-M_alt 'R 3 m'
_space_group_IT_number 160
_space_group_name_Hall 'R 3 -2"'
_cell_length_a 3.0539
_cell_length_b 3.0539
_cell_length_c 30.9686
_cell_angle_alpha 90.00
_cell_angle_beta 90.00
_cell_angle_gamma 120.00
loop_
_atom_site_label
_atom_site_type_symbol
_atom_site_fract_x
_atom_site_fract_y
_atom_site_fract_z
Ta1 Ta 0.0000 0.0000 0.0000
Cd1 Cd 0.0000 0.0000 0.5002
Cd2 Cd 0.0000 0.0000 0.7466
Hg1 Hg 0.0000 0.0000 0.2541
# Formation enthalpy at 0 K ... 283.5 meV per atom

***

# TaCd3Hg PBE-GGA optimized geometry
data_TaCd3Hg
_space_group_name_H-M_alt 'P m -3 m'
_space_group_IT_number 221
_space_group_name_Hall '-P 4 2 3'
_cell_length_a 5.615
_cell_length_b 5.615
_cell_length_c 5.615
_cell_angle_alpha 90.00
_cell_angle_beta 90.00
_cell_angle_gamma 90.00
loop_
_atom_site_label
_atom_site_type_symbol
_atom_site_fract_x
_atom_site_fract_y
_atom_site_fract_z
Ta1 Ta 0.000 0.000 0.000
Cd1 Cd 0.000 0.000 0.500
Hg1 Hg 0.500 0.500 0.500
# Formation enthalpy at 0 K ... 1020.1 meV per atom

***

# TaCd4Hg PBE-GGA optimized geometry
data_TaCd4Hg
_space_group_name_H-M_alt 'F -4 3 m'
_space_group_IT_number 216
_space_group_name_Hall 'F -4 2 3'
_cell_length_a 8.069
_cell_length_b 8.069
_cell_length_c 8.069
_cell_angle_alpha 90.00
_cell_angle_beta 90.00
_cell_angle_gamma 90.00
loop_
_atom_site_label
_atom_site_type_symbol
_atom_site_fract_x
_atom_site_fract_y
_atom_site_fract_z
Ta1 Ta 0.000 0.000 0.000
Cd1 Cd 0.126 0.126 0.626
Hg1 Hg 0.250 0.250 0.250
# Formation enthalpy at 0 K ... 587.0 meV per atom

***

# TaCd2Hg PBE-GGA optimized geometry
data_TaCd2Hg
_space_group_name_H-M_alt 'P m m 2'
_space_group_IT_number 25
_space_group_name_Hall 'P 2 -2'
_cell_length_a 2.967
_cell_length_b 4.408
_cell_length_c 6.265
_cell_angle_alpha 90.00
_cell_angle_beta 90.00
_cell_angle_gamma 90.00
loop_
_atom_site_label
_atom_site_type_symbol
_atom_site_fract_x
_atom_site_fract_y
_atom_site_fract_z
Ta1 Ta 0.000 0.000 0.000
Cd1 Cd 0.000 0.000 0.496
Cd2 Cd 0.500 0.500 0.244
Hg1 Hg 0.500 0.500 0.769
# Formation enthalpy at 0 K ... 380.8 meV per atom